(1)
Compound: SrB2Mo
Source: Alexandria
Functional: GGA-PBE
Structure: optimized geometry

Fermi-level density of states = 0.813 states/eV/atom
Polymorph energy (0 for the lowest one) = 682 meV/atom
Energy of formation from the pure elements = 1295.2 meV/atom

Geometry as CIF:
```
data_SrB2Mo
_symmetry_space_group_name_H-M 'F m -3 m'
_symmetry_Int_Tables_number 225
_symmetry_space_group_name_Hall '-F 4 2 3'
_cell_length_a 6.213
_cell_length_b 6.213
_cell_length_c 6.213
_cell_angle_alpha 90.00
_cell_angle_beta 90.00
_cell_angle_gamma 90.00
loop_
_atom_site_label
_atom_site_type_symbol
_atom_site_fract_x
_atom_site_fract_y
_atom_site_fract_z
Sr1 Sr 0.000 0.000 0.000
B1 B 0.250 0.250 0.250
Mo1 Mo 0.000 0.000 0.500
```

***

(2)
Compound: MgPaZnGe
Source: Alexandria
Functional: GGA-PBE
Structure: optimized geometry

Fermi-level density of states = 1.002 states/eV/atom
Energy of formation from the pure elements = -150.8 meV/atom

Geometry as CIF:
```
data_MgPaZnGe
_symmetry_space_group_name_H-M 'F -4 3 m'
_symmetry_Int_Tables_number 216
_symmetry_space_group_name_Hall 'F -4 2 3'
_cell_length_a 6.864
_cell_length_b 6.864
_cell_length_c 6.864
_cell_angle_alpha 90.00
_cell_angle_beta 90.00
_cell_angle_gamma 90.00
loop_
_atom_site_label
_atom_site_type_symbol
_atom_site_fract_x
_atom_site_fract_y
_atom_site_fract_z
Mg1 Mg 0.000 0.000 0.000
Pa1 Pa 0.000 0.000 0.500
Zn1 Zn 0.250 0.250 0.750
Ge1 Ge 0.250 0.250 0.250
```

***

(3)
Compound: Pr6AuSe3S2
Source: Alexandria
Functional: GGA-PBE
Structure: optimized geometry

Fermi-level density of states = 0.455 states/eV/atom
Uncorrected formation energy = -1.7339 eV/atom

Geometry as CIF:
```
data_Pr6AuSe3S2
_symmetry_space_group_name_H-M 'C 1 2/m 1'
_symmetry_Int_Tables_number 12
_symmetry_space_group_name_Hall '-C 2y'
_cell_length_a 7.315
_cell_length_b 12.663
_cell_length_c 7.350
_cell_angle_alpha 90.00
_cell_angle_beta 109.35
_cell_angle_gamma 90.00
loop_
_atom_site_label
_atom_site_type_symbol
_atom_site_fract_x
_atom_site_fract_y
_atom_site_fract_z
Pr1 Pr 0.237 0.000 0.241
Pr2 Pr 0.248 0.172 0.757
Au1 Au 0.000 0.500 0.000
Se1 Se 0.000 0.000 0.500
Se2 Se 0.000 0.336 0.500
S1 S 0.000 0.166 0.000
```

***

(4)
Compound: Cs2NiH4
Source: Alexandria
Functional: GGA-PBE
Structure: optimized geometry

Fermi-level density of states = 0.405 states/eV/atom
Polymorph energy (0 for the lowest one) = 152 meV/atom

Geometry as CIF:
```
data_Cs2NiH4
_symmetry_space_group_name_H-M 'I 4/m m m'
_symmetry_Int_Tables_number 139
_symmetry_space_group_name_Hall '-I 4 2'
_cell_length_a 3.929
_cell_length_b 3.929
_cell_length_c 15.853
_cell_angle_alpha 90.00
_cell_angle_beta 90.00
_cell_angle_gamma 90.00
loop_
_atom_site_label
_atom_site_type_symbol
_atom_site_fract_x
_atom_site_fract_y
_atom_site_fract_z
Cs1 Cs 0.000 0.000 0.136
Ni1 Ni 0.000 0.000 0.500
H1 H 0.000 0.000 0.402
H2 H 0.000 0.500 0.000
```

***

- What is the Fermi-level density of states in the third record?
  0.455 states/eV/atom